# 1
The following is a DFT calculation (PBE) of crystalline LaCuPb at its relaxed geometry.

Output
As for the symmetry: P6_3mc. The raw total energy comes out at -4.5523 eV per atom.

```
6
Lattice="-4.004 -0.412 2.529 0.203 -1.721 -4.427 2.468 -6.875 2.786" Properties=species:S:1:pos:R:3 pbc="T T T"
Cu -1.080 -1.617 -1.973
Cu -1.248 -4.618 1.738
La 0.583 -1.624 0.658
La 1.817 -5.061 2.051
Pb -0.050 -4.485 -0.811
Pb -0.218 -7.486 2.901
```

***

# 2
The following is a DFT calculation (PBE) of crystalline LaCuPdPb2 at its relaxed geometry.

Output
As for the symmetry: P4/nmm. The raw total energy comes out at -4.6315 eV per atom.

```
10
Lattice="-1.057 -0.201 -4.495 0.366 -4.606 0.120 -10.971 -0.803 2.615" Properties=species:S:1:pos:R:3 pbc="T T T"
Cu 0.000 0.000 0.000
Cu -0.346 -2.404 -2.187
La -3.114 -0.290 -1.631
La -8.202 -2.917 2.059
Pb -1.150 -2.400 0.378
Pb -5.485 -0.402 1.308
Pb -5.831 -2.805 -0.880
Pb -10.167 -0.806 0.050
Pd -3.745 -2.590 0.996
Pd -7.572 -0.616 -0.568
```

***

# 3
The following is a DFT calculation (PBE) of crystalline LaCuPbS3 at its relaxed geometry.

Output
As for the symmetry: Pnma. The raw total energy comes out at -5.2695 eV per atom.

```
24
Lattice="-7.505 2.875 -0.942 -1.120 -3.529 -1.847 -4.119 -6.108 14.172" Properties=species:S:1:pos:R:3 pbc="T T T"
Cu -5.516 0.113 0.812
Cu -2.740 -2.772 4.642
Cu -10.005 -3.990 6.740
Cu -7.228 -6.875 10.570
La -2.320 -0.409 -0.128
La -7.801 -1.536 5.349
La -4.943 -5.227 6.034
La -10.425 -6.353 11.511
Pb -8.591 -1.375 0.886
Pb -5.078 -3.169 2.183
Pb -7.666 -3.594 9.200
Pb -4.154 -5.387 10.497
S -7.131 1.260 -0.401
S -4.922 -1.837 -0.458
S -2.544 -1.716 2.504
S -6.534 -0.629 2.848
S -9.927 -2.256 3.379
S -4.921 -2.466 5.379
S -7.823 -4.297 6.003
S -2.818 -4.507 8.004
S -6.211 -6.133 8.535
S -10.200 -5.047 8.879
S -7.822 -4.926 11.840
S -5.614 -8.023 11.784
```

***

# 4
The following is a DFT calculation (PBE) of crystalline LaCuPbS3 at its relaxed geometry.

Output
As for the symmetry: Pnma. The raw total energy comes out at -5.2244 eV per atom.

```
24
Lattice="13.280 0.000 0.000 0.000 4.028 0.000 0.000 0.000 11.079" Properties=species:S:1:pos:R:3 pbc="T T T"
Cu 13.182 1.007 0.912
Cu 6.542 1.007 4.627
Cu 6.738 3.021 6.452
Cu 0.098 3.021 10.167
La 6.474 3.021 1.932
La 13.114 3.021 3.608
La 0.166 1.007 7.471
La 6.806 1.007 9.148
Pb 10.405 3.021 0.464
Pb 3.765 3.021 5.076
Pb 9.515 1.007 6.004
Pb 2.875 1.007 10.615
S 8.124 1.007 0.667
S 1.279 3.021 1.171
S 11.429 1.007 2.494
S 4.789 1.007 3.046
S 7.919 3.021 4.368
S 1.484 1.007 4.873
S 11.796 3.021 6.207
S 5.361 1.007 6.711
S 8.491 3.021 8.033
S 1.851 3.021 8.586
S 12.001 1.007 9.908
S 5.156 3.021 10.412
```

***

# 5
The following is a DFT calculation (PBE) of crystalline LaCuPbS3 at its relaxed geometry.

Output
As for the symmetry: P2_1/m. The raw total energy comes out at -5.2203 eV per atom.

```
12
Lattice="7.769 0.000 0.000 0.000 4.043 0.000 -1.887 0.000 9.360" Properties=species:S:1:pos:R:3 pbc="T T T"
Cu 4.291 1.011 0.797
Cu 1.592 3.032 8.563
La 5.506 3.032 3.241
La 0.376 1.011 6.118
Pb 1.628 3.032 1.840
Pb 4.254 1.011 7.520
S 5.605 3.032 0.379
S 3.516 1.011 3.022
S -0.200 1.011 3.259
S 6.082 3.032 6.101
S 2.366 3.032 6.337
S 0.277 1.011 8.980
```

***

# 6
The following is a DFT calculation (PBE) of crystalline LaCuPbS3 at its relaxed geometry.

Output
As for the symmetry: Pnma. The raw total energy comes out at -5.2775 eV per atom.

```
24
Lattice="11.186 0.000 0.000 0.000 4.151 0.000 0.000 0.000 11.569" Properties=species:S:1:pos:R:3 pbc="T T T"
Cu 8.424 0.000 2.393
Cu 2.831 0.000 3.391
Cu 8.355 2.076 8.178
Cu 2.762 2.076 9.176
La 5.454 2.076 2.096
La 11.047 2.076 3.689
La 0.139 0.000 7.880
La 5.732 0.000 9.474
Pb 1.983 0.000 0.100
Pb 7.576 0.000 5.685
Pb 3.610 2.076 5.884
Pb 9.202 2.076 11.470
S 6.838 0.000 0.683
S 10.634 0.000 1.622
S 2.497 2.076 2.270
S 8.090 2.076 3.514
S 5.042 0.000 4.163
S 1.245 0.000 5.102
S 9.940 2.076 6.467
S 6.144 2.076 7.406
S 3.096 0.000 8.055
S 8.689 0.000 9.299
S 0.551 2.076 9.948
S 4.348 2.076 10.886
```

***

# 7
The following is a DFT calculation (PBE) of crystalline LaCuPbS3 at its relaxed geometry.

Output
As for the symmetry: C2/m. The raw total energy comes out at -5.1675 eV per atom.

```
12
Lattice="9.255 -2.034 0.000 9.255 2.034 0.000 -2.092 0.000 7.708" Properties=species:S:1:pos:R:3 pbc="T T T"
Cu 7.985 0.000 2.295
Cu 8.433 0.000 5.413
La 14.662 0.000 3.190
La 1.756 0.000 4.517
Pb 2.052 0.000 0.508
Pb 14.366 0.000 7.199
S 9.255 0.000 0.000
S 5.893 0.000 1.293
S 11.807 0.000 2.678
S -1.046 0.000 3.854
S 4.611 0.000 5.029
S 10.525 0.000 6.414
```

***

# 8
The following is a DFT calculation (PBE) of crystalline LaCuPbS3 at its relaxed geometry.

Output
As for the symmetry: Pnma. The raw total energy comes out at -5.2593 eV per atom.

```
24
Lattice="-10.183 -0.873 3.712 -1.369 -0.223 -3.807 1.210 -12.779 0.315" Properties=species:S:1:pos:R:3 pbc="T T T"
Cu -8.565 -3.659 0.059
Cu -3.403 -3.968 -1.778
Cu -6.939 -9.907 1.998
Cu -1.777 -10.217 0.160
La -5.314 -3.424 1.033
La -0.169 -3.541 -0.809
La -10.173 -10.334 1.029
La -5.029 -10.452 -0.813
Pb -8.419 -0.753 1.992
Pb -2.723 -6.696 0.294
Pb -7.619 -7.179 -0.074
Pb -1.923 -13.122 -1.773
S -7.135 -1.930 -0.556
S -10.531 -2.527 0.700
S -2.743 -2.534 0.057
S -7.657 -4.852 1.959
S -5.124 -5.415 -1.074
S -1.671 -5.425 -2.315
S -8.671 -8.450 2.535
S -5.218 -8.460 1.294
S -2.686 -9.023 -1.739
S -7.599 -11.341 0.163
S 0.189 -11.348 -0.480
S -3.207 -11.945 0.776
```